Below is a relaxed AcSmSn crystal, with properties calculated at the PBE level.

Calculated values
VASP energy = -0.1780 hartree per atom
V = 210.16 Å³ per cell

a = 4.8461 Å, b = 4.8461 Å, c = 8.9485 Å
α = 90.00°, β = 90.00°, γ = 90.00°
Atoms (fractional coordinates):
Ac: 0.2500 0.2500 0.1465
Ac: 0.7500 0.7500 0.8535
Sm: 0.2500 0.7500 0.5000
Sm: 0.7500 0.2500 0.5000
Sn: 0.2500 0.2500 0.7542
Sn: 0.7500 0.7500 0.2458